# 1
An optimized crystal structure of OsAu2Cl. Source: Alexandria, functional PBE.

Summary:
D(E_F) = 0.67 states/eV/atom
Energy above the most stable polymorph in this dataset = 94 meV/atom
Volume = 17.32 Å³ per atom
Uncorrected energy = -4.316 eV/atom

a b c (Å): 8.992 8.992 8.992
angles (deg): 19.27 19.27 19.27
Element x y z (fractional)
Au 0.002 0.002 0.002
Au 0.498 0.498 0.498
Cl 0.250 0.250 0.250
Os 0.750 0.750 0.750

# 2
An optimized crystal structure of Ac2PN4. Source: Alexandria, functional PBE.

Summary:
D(E_F) = 0.65 states/eV/atom
Volume = 16.84 Å³ per atom
Uncorrected energy = -7.661 eV/atom

a b c (Å): 5.677 5.709 8.143
angles (deg): 63.29 90.00 90.00
Element x y z (fractional)
Ac 0.250 0.312 0.974
Ac 0.750 0.688 0.026
Ac 0.750 0.223 0.546
Ac 0.250 0.777 0.454
P 0.250 0.945 0.782
P 0.750 0.055 0.218
N 0.483 0.820 0.731
N 0.250 0.833 0.009
N 0.750 0.167 0.991
N 0.017 0.820 0.731
N 0.750 0.730 0.336
N 0.983 0.180 0.269
N 0.517 0.180 0.269
N 0.250 0.270 0.664